Record 1
Here is VZnP2 after structural relaxation from Alexandria. Energies are from PBE.

Values from the calculation:
- Space-group type: No. 166
- Electronic total energy: -22.13 eV per formula unit

Cell lengths 8.097, 8.097, 8.097 Å; angles 21.57, 21.57, 21.57 degrees
Fractional coordinates of all 4 atoms:
V 0.000 0.000 0.000
Zn 0.500 0.500 0.500
P 0.401 0.401 0.401
P 0.599 0.599 0.599

Record 2
Here is VZnP2 after structural relaxation from Alexandria. Energies are from PBE.

Values from the calculation:
- Space-group type: No. 122
- Electronic total energy: -21.52 eV per formula unit

Cell lengths 6.605, 6.605, 6.605 Å; angles 130.67, 130.67, 72.34 degrees
Fractional coordinates of all 8 atoms:
V 0.000 0.000 0.000
V 0.750 0.250 0.500
Zn 0.250 0.750 0.500
Zn 0.500 0.500 0.000
P 0.110 0.625 0.985
P 0.375 0.360 0.485
P 0.640 0.125 0.015
P 0.875 0.890 0.515

Record 3
Here is VZn2P2 after structural relaxation from Alexandria. Energies are from PBE.

Values from the calculation:
- Space-group type: No. 127
- Electronic total energy: -22.89 eV per formula unit

Cell lengths 6.204, 6.204, 3.766 Å; angles 90.00, 90.00, 90.00 degrees
Fractional coordinates of all 10 atoms:
V 0.000 0.000 0.000
V 0.500 0.500 0.000
Zn 0.182 0.318 0.500
Zn 0.318 0.818 0.500
Zn 0.682 0.182 0.500
Zn 0.818 0.682 0.500
P 0.137 0.637 0.000
P 0.363 0.137 0.000
P 0.637 0.863 0.000
P 0.863 0.363 0.000

Record 4
Here is VZnP3 after structural relaxation from Alexandria. Energies are from PBE.

Values from the calculation:
- Space-group type: No. 221
- Relative energy among the computed polymorphs: 710 meV per atom
- Electronic total energy: -21.28 eV per formula unit

Cell lengths 4.573, 4.573, 4.573 Å; angles 90.00, 90.00, 90.00 degrees
Fractional coordinates of all 5 atoms:
V 0.000 0.000 0.000
Zn 0.500 0.500 0.500
P 0.000 0.500 0.500
P 0.500 0.000 0.500
P 0.500 0.500 0.000

Record 5
Here is VZnP3 after structural relaxation from Alexandria. Energies are from PBE.

Values from the calculation:
- Space-group type: No. 221
- Relative energy among the computed polymorphs: 0 meV per atom
- Electronic total energy: -24.83 eV per formula unit

Cell lengths 4.539, 4.539, 4.539 Å; angles 90.00, 90.00, 90.00 degrees
Fractional coordinates of all 5 atoms:
V 0.000 0.000 0.000
Zn 0.500 0.500 0.500
P 0.000 0.000 0.500
P 0.000 0.500 0.000
P 0.500 0.000 0.000

Record 6
Here is ZrV3P after structural relaxation from Alexandria. Energies are from PBE.

Values from the calculation:
- Space-group type: No. 221
- Relative energy among the computed polymorphs: 1805 meV per atom
- Electronic total energy: -32.18 eV per formula unit

Cell lengths 4.618, 4.618, 4.618 Å; angles 90.00, 90.00, 90.00 degrees
Fractional coordinates of all 5 atoms:
Zr 0.000 0.000 0.000
V 0.000 0.000 0.500
V 0.000 0.500 0.000
V 0.500 0.000 0.000
P 0.500 0.500 0.500

Record 7
Here is ZrV2P2 after structural relaxation from Alexandria. Energies are from PBE.

Values from the calculation:
- Space-group type: No. 127
- Relative energy among the computed polymorphs: 86 meV per atom
- Electronic total energy: -41.24 eV per formula unit

Cell lengths 6.814, 6.814, 3.143 Å; angles 90.00, 90.00, 90.00 degrees
Fractional coordinates of all 10 atoms:
Zr 0.000 0.000 0.000
Zr 0.500 0.500 0.000
V 0.141 0.359 0.500
V 0.359 0.859 0.500
V 0.641 0.141 0.500
V 0.859 0.641 0.500
P 0.141 0.641 0.000
P 0.359 0.141 0.000
P 0.641 0.859 0.000
P 0.859 0.359 0.000

Record 8
Here is Zr2VP2 after structural relaxation from Alexandria. Energies are from PBE.

Values from the calculation:
- Space-group type: No. 127
- Relative energy among the computed polymorphs: 0 meV per atom
- Electronic total energy: -42.20 eV per formula unit

Cell lengths 6.581, 6.581, 3.737 Å; angles 90.00, 90.00, 90.00 degrees
Fractional coordinates of all 10 atoms:
Zr 0.166 0.334 0.000
Zr 0.334 0.834 0.000
Zr 0.666 0.166 0.000
Zr 0.834 0.666 0.000
V 0.000 0.000 0.500
V 0.500 0.500 0.500
P 0.142 0.642 0.500
P 0.358 0.142 0.500
P 0.642 0.858 0.500
P 0.858 0.358 0.500

Number 1: V 62.86 Å³/f.u.. Number 2: V 81.03 Å³/f.u.. Number 3: V 72.48 Å³/f.u.. Number 4: V 95.65 Å³/f.u.. Number 5: V 93.54 Å³/f.u.. Number 6: V 98.46 Å³/f.u.. Number 7: V 72.94 Å³/f.u.. Number 8: V 80.93 Å³/f.u..